Entry 1:
The following is a DFT calculation (GGA+U) of crystalline RbCoPtF6 at its relaxed geometry.

* VASP energy: -4.464 eV/atom

a b c (Å): 5.5549 5.5706 5.9919
angles (deg): 90.32 90.47 117.98
Closest atoms and distances in Å follow each position.
Space group P1 (No. 1)
Asymmetric unit:
Rb  0.0000  0.0000  0.0000  6 F 2.77-2.83
Co  0.3316  0.6692  0.5003  6 F 1.98-2.14
Pt  0.6692  0.3307  0.5001  4 F 2.01-2.02
F  0.0357  0.6383  0.2962  1 Co 1.98
F  0.3633  0.9638  0.7046  1 Co 1.98
F  0.3637  0.3487  0.3310  1 Pt 2.01, 1 Co 2.13
F  0.6425  0.0067  0.3283  1 Pt 2.02, 1 Co 2.14
F  0.6526  0.6359  0.6689  1 Pt 2.01, 1 Co 2.13
F  0.9946  0.3572  0.6718  1 Pt 2.02, 1 Co 2.14

=====

Entry 2:
The following is a DFT calculation (GGA+U) of crystalline BaRe2NiO8 at its relaxed geometry.

* VASP energy: -7.412 eV/atom

a b c (Å): 5.6819 5.6819 7.3111
angles (deg): 90.00 90.00 120.00
Closest atoms and distances in Å follow each position.
Space group P-3 (No. 147)
Asymmetric unit:
Ba  0.0000  0.0000  0.0000  6 O 2.85
Re  0.3333  0.6667  0.7413  4 O 1.79-1.80
Ni  0.0000  0.0000  0.5000  6 O 2.06
O  0.1011  0.3189  0.6779  1 Re 1.80
O  0.3333  0.6667  0.9867  1 Re 1.79